Computed, not measured: a relaxed Cd2InCu2Au5 crystal at the PBE level of DFT.

The space group is P4/mbm (No. 127) and the conventional cell measures 9.6013, 9.6013 and 4.0365 Å, with angles of 90.00, 90.00 and 90.00 degrees. The inequivalent atoms are Cd at (0.1668, 0.3332, 0.0000), In at (0.0000, 0.0000, 0.0000), Cu at (0.1244, 0.6244, 0.0000), Au at (0.0000, 0.5000, 0.5000) and Au at (0.0941, 0.8054, 0.5000).

The theoretical density is 13.0 Mg/m³. The calculation puts the spin magnetization at 0.00 μB/atom. For the formation enthalpy at 0 K, the calculation gives -0.08 eV per atom.